Record 1
The following is a DFT calculation (PBE+U) of a geometry-optimized ZnFeF structure.

Cell lengths 12.5654, 2.8566, 5.3481 Å; angles 90.00, 90.00, 90.00 degrees
Atoms (fractional coordinates):
Zn  0.0000  0.0000  0.0000
Zn  0.0000  0.5000  0.5000
Zn  0.5000  0.0000  0.1173
Zn  0.5000  0.5000  0.6173
Fe  0.3317  0.0000  0.7947
Fe  0.3317  0.5000  0.2947
Fe  0.6683  0.0000  0.7947
Fe  0.6683  0.5000  0.2947
F  0.2344  0.0000  0.4879
F  0.2344  0.5000  0.9879
F  0.7656  0.0000  0.4879
F  0.7656  0.5000  0.9879

Summary:
- V: 48 Å³/f.u.
- Size of the total moment: 1.207 μB/atom
- E_tot: -3.74 eV/atom



Record 2
The following is a DFT calculation (PBE+U) of a geometry-optimized ZnFe2F structure.

Cell lengths 6.1067, 6.1067, 6.1067 Å; angles 90.00, 90.00, 90.00 degrees
Atoms (fractional coordinates):
Zn  0.0000  0.0000  0.0000
Zn  0.0000  0.5000  0.5000
Zn  0.5000  0.0000  0.5000
Zn  0.5000  0.5000  0.0000
Fe  0.2500  0.2500  0.2500
Fe  0.2500  0.2500  0.7500
Fe  0.2500  0.7500  0.2500
Fe  0.2500  0.7500  0.7500
Fe  0.7500  0.2500  0.2500
Fe  0.7500  0.2500  0.7500
Fe  0.7500  0.7500  0.2500
Fe  0.7500  0.7500  0.7500
F  0.0000  0.0000  0.5000
F  0.0000  0.5000  0.0000
F  0.5000  0.0000  0.0000
F  0.5000  0.5000  0.5000

Summary:
- V: 57 Å³/f.u.
- Size of the total moment: 1.564 μB/atom
- E_tot: -3.48 eV/atom
- Relative energy among the computed polymorphs: 0.99 eV/f.u.



Record 3
The following is a DFT calculation (PBE+U) of a geometry-optimized ZnFeF5 structure.

Cell lengths 3.6387, 6.7186, 7.9941 Å; angles 90.00, 90.00, 90.00 degrees
Atoms (fractional coordinates):
Zn  0.0000  0.0000  0.0000
Zn  0.5000  0.5000  0.5000
Fe  0.0000  0.0000  0.5000
Fe  0.5000  0.5000  0.0000
F  0.0000  0.0000  0.2700
F  0.0000  0.0000  0.7300
F  0.0000  0.3207  0.0000
F  0.0000  0.5000  0.5000
F  0.0000  0.6793  0.0000
F  0.5000  0.0000  0.0000
F  0.5000  0.1793  0.5000
F  0.5000  0.5000  0.2300
F  0.5000  0.5000  0.7700
F  0.5000  0.8207  0.5000

Summary:
- V: 98 Å³/f.u.
- Size of the total moment: 0.713 μB/atom
- E_tot: -4.57 eV/atom
- Relative energy among the computed polymorphs: 0.83 eV/f.u.



Record 4
The following is a DFT calculation (PBE+U) of a geometry-optimized Zn3FeF structure.

Cell lengths 4.3095, 4.3095, 4.3095 Å; angles 90.00, 90.00, 90.00 degrees
Atoms (fractional coordinates):
Zn  0.0000  0.0000  0.5000
Zn  0.0000  0.5000  0.0000
Zn  0.5000  0.0000  0.0000
Fe  0.5000  0.5000  0.5000
F  0.0000  0.0000  0.0000

Summary:
- V: 80 Å³/f.u.
- Size of the total moment: 0.561 μB/atom
- E_tot: -2.07 eV/atom
- Relative energy among the computed polymorphs: 0.00 eV/f.u.



Record 5
The following is a DFT calculation (PBE+U) of a geometry-optimized ZnFeF5 structure.

Cell lengths 5.3186, 5.3186, 7.6087 Å; angles 111.12, 111.12, 72.80 degrees
Atoms (fractional coordinates):
Zn  0.0152  0.9848  0.7500
Zn  0.9848  0.0152  0.2500
Fe  0.5000  0.5000  0.0000
Fe  0.5000  0.5000  0.5000
F  0.1735  0.7695  0.0390
F  0.2031  0.2987  0.3631
F  0.2305  0.8265  0.4610
F  0.2987  0.2031  0.8631
F  0.4010  0.5990  0.7500
F  0.5990  0.4010  0.2500
F  0.7013  0.7969  0.1369
F  0.7695  0.1735  0.5390
F  0.7969  0.7013  0.6369
F  0.8265  0.2305  0.9610

Summary:
- V: 92 Å³/f.u.
- Size of the total moment: 0.714 μB/atom
- E_tot: -4.68 eV/atom
- Relative energy among the computed polymorphs: 0.04 eV/f.u.



Record 6
The following is a DFT calculation (PBE+U) of a geometry-optimized ZnFe2F8 structure.

Cell lengths 5.9274, 5.9274, 4.1687 Å; angles 90.27, 90.27, 69.91 degrees
Atoms (fractional coordinates):
Zn  0.0000  0.0000  0.0000
Fe  0.3697  0.3697  0.7476
Fe  0.6303  0.6303  0.2524
F  0.1209  0.6706  0.7663
F  0.1789  0.1789  0.7393
F  0.3294  0.8791  0.2337
F  0.4092  0.4092  0.2553
F  0.5908  0.5908  0.7447
F  0.6706  0.1209  0.7663
F  0.8211  0.8211  0.2607
F  0.8791  0.3294  0.2337

Summary:
- V: 138 Å³/f.u.
- Size of the total moment: 0.909 μB/atom
- E_tot: -4.82 eV/atom
- Relative energy among the computed polymorphs: 0.19 eV/f.u.



Record 7
The following is a DFT calculation (PBE+U) of a geometry-optimized ZnFeF4 structure.

Cell lengths 5.6347, 5.6347, 7.3135 Å; angles 90.00, 90.00, 90.00 degrees
Atoms (fractional coordinates):
Zn  0.0000  0.5000  0.2500
Zn  0.5000  0.0000  0.7500
Fe  0.0000  0.0000  0.0000
Fe  0.0000  0.0000  0.5000
F  0.1742  0.2713  0.3944
F  0.1742  0.7287  0.1056
F  0.2713  0.1742  0.8944
F  0.2713  0.8258  0.6056
F  0.7287  0.1742  0.6056
F  0.7287  0.8258  0.8944
F  0.8258  0.2713  0.1056
F  0.8258  0.7287  0.3944

Summary:
- V: 116 Å³/f.u.
- Size of the total moment: 0.667 μB/atom
- E_tot: -4.61 eV/atom
- Relative energy among the computed polymorphs: 1.05 eV/f.u.



Record 8
The following is a DFT calculation (PBE+U) of a geometry-optimized ZnFeF5 structure.

Cell lengths 5.2782, 9.9048, 7.6611 Å; angles 90.00, 107.70, 90.00 degrees
Atoms (fractional coordinates):
Zn  0.0152  0.0093  0.2884
Zn  0.0152  0.4907  0.7884
Zn  0.9848  0.5093  0.2116
Zn  0.9848  0.9907  0.7116
Fe  0.4254  0.2423  0.1311
Fe  0.4254  0.2577  0.6311
Fe  0.5746  0.7423  0.3689
Fe  0.5746  0.7577  0.8689
F  0.1345  0.1157  0.1076
F  0.1345  0.3843  0.6076
F  0.1622  0.1083  0.5359
F  0.1622  0.3917  0.0359
F  0.2787  0.6344  0.8318
F  0.2787  0.8656  0.3318
F  0.3343  0.5944  0.2851
F  0.3343  0.9056  0.7851
F  0.3966  0.2077  0.8737
F  0.3966  0.2923  0.3737
F  0.6034  0.7077  0.6263
F  0.6034  0.7923  0.1263
F  0.6657  0.0944  0.2149
F  0.6657  0.4056  0.7149
F  0.7213  0.1344  0.6682
F  0.7213  0.3656  0.1682
F  0.8378  0.6083  0.9641
F  0.8378  0.8917  0.4641
F  0.8655  0.6157  0.3924
F  0.8655  0.8843  0.8924

Summary:
- V: 95 Å³/f.u.
- Size of the total moment: 0.714 μB/atom
- E_tot: -4.69 eV/atom
- Relative energy among the computed polymorphs: 0.00 eV/f.u.



Record 9
The following is a DFT calculation (PBE+U) of a geometry-optimized ZnFe2F8 structure.

Cell lengths 5.2413, 5.2413, 5.0843 Å; angles 100.20, 100.20, 75.75 degrees
Atoms (fractional coordinates):
Zn  0.0000  0.0000  0.0000
Fe  0.3173  0.3173  0.5577
Fe  0.6827  0.6827  0.4423
F  0.0498  0.6644  0.6893
F  0.1793  0.1793  0.8105
F  0.3356  0.9502  0.3107
F  0.4381  0.4381  0.2621
F  0.5619  0.5619  0.7379
F  0.6644  0.0498  0.6893
F  0.8207  0.8207  0.1895
F  0.9502  0.3356  0.3107

Summary:
- V: 132 Å³/f.u.
- Size of the total moment: 0.909 μB/atom
- E_tot: -4.83 eV/atom
- Relative energy among the computed polymorphs: 0.00 eV/f.u.



Record 10
The following is a DFT calculation (PBE+U) of a geometry-optimized ZnFeF3 structure.

Cell lengths 4.0930, 4.0930, 4.0930 Å; angles 90.00, 90.00, 90.00 degrees
Atoms (fractional coordinates):
Zn  0.0000  0.0000  0.0000
Fe  0.5000  0.5000  0.5000
F  0.0000  0.5000  0.5000
F  0.5000  0.0000  0.5000
F  0.5000  0.5000  0.0000

Summary:
- V: 69 Å³/f.u.
- Size of the total moment: 0.899 μB/atom
- E_tot: -4.11 eV/atom
- Relative energy among the computed polymorphs: 0.00 eV/f.u.



Record 11
The following is a DFT calculation (PBE+U) of a geometry-optimized ZnFeF2 structure.

Cell lengths 2.9963, 2.9963, 23.6640 Å; angles 90.00, 90.00, 120.00 degrees
Atoms (fractional coordinates):
Zn  0.0000  0.0000  0.0000
Zn  0.3333  0.6667  0.6667
Zn  0.6667  0.3333  0.3333
Fe  0.0000  0.0000  0.5000
Fe  0.3333  0.6667  0.1667
Fe  0.6667  0.3333  0.8333
F  0.0000  0.0000  0.1162
F  0.0000  0.0000  0.8838
F  0.3333  0.6667  0.5505
F  0.3333  0.6667  0.7829
F  0.6667  0.3333  0.2171
F  0.6667  0.3333  0.4495

Summary:
- V: 61 Å³/f.u.
- Size of the total moment: 0.949 μB/atom
- E_tot: -4.03 eV/atom
- Relative energy among the computed polymorphs: 0.38 eV/f.u.



What is the V in the eleventh record? 61 Å³/f.u.



The lowest size of the total moment belongs to which entry? Zn3FeF



Which of these has the highest size of the total moment? ZnFe2F